A plane-wave DFT calculation with GGA-PBE was carried out for a geometry-optimized Hf2BeSn2 structure.

The formation energy comes out at 0.09 eV per atom.

The space group is P4/mbm (No. 127) and the conventional cell measures 6.867, 6.867 and 4.343 Å, with angles of 90.00, 90.00 and 90.00 degrees. The asymmetric unit holds Hf at (0.163, 0.337, 0.000), Be at (0.000, 0.000, 0.500) and Sn at (0.148, 0.648, 0.500).



A plane-wave DFT calculation with GGA-PBE was carried out for a geometry-optimized ScAl structure.

The formation energy comes out at 0.57 eV per atom.

The space group is P6_3/mmc (No. 194) and the conventional cell measures 4.9461, 4.9461 and 5.5588 Å, with angles of 90.00, 90.00 and 120.00 degrees. The asymmetric unit holds Sc at (0.3333, 0.6667, 0.2500) and Al at (0.3333, 0.6667, 0.7500).



A plane-wave DFT calculation with GGA-PBE was carried out for a geometry-optimized ScBeP2Cl structure.

Its energy relative to the elements, uncorrected is 0.4441 eV/atom. The energy above the lowest structure with this stoichiometry comes out at 621.6 meV/atom.

The space group is P4/mmm (No. 123) and the conventional cell measures 5.033, 5.033 and 4.787 Å, with angles of 90.00, 90.00 and 90.00 degrees. The asymmetric unit holds Sc at (0.000, 0.000, 0.000), Be at (0.500, 0.500, 0.500), P at (0.000, 0.500, 0.000) and Cl at (0.000, 0.000, 0.500).



A plane-wave DFT calculation with GGA-PBE was carried out for a geometry-optimized K4Mg3 structure.

The energy above the lowest structure with this stoichiometry comes out at 4.7 meV/atom. The formation energy comes out at 0.16 eV per atom.

The space group is P6/mmm (No. 191) and the conventional cell measures 6.8262, 6.8262 and 7.6366 Å, with angles of 90.00, 90.00 and 120.00 degrees. The asymmetric unit holds K at (0.0000, 0.0000, 0.2385), K at (0.3333, 0.6667, 0.5000) and Mg at (0.0000, 0.5000, 0.0000).



A plane-wave DFT calculation with GGA-PBE was carried out for a geometry-optimized AcSmAl structure.

The energy above the lowest structure with this stoichiometry comes out at 0.0 meV/atom. The formation energy comes out at -0.15 eV per atom.

The space group is I4mm (No. 107) and the conventional cell measures 3.735, 3.735 and 13.815 Å, with angles of 90.00, 90.00 and 90.00 degrees. The asymmetric unit holds Ac at (0.000, 0.000, 0.000), Sm at (0.000, 0.000, 0.288) and Al at (0.000, 0.000, 0.659).



A plane-wave DFT calculation with GGA-PBE was carried out for a geometry-optimized NaTeW2 structure.

Its energy relative to the elements, uncorrected is 1.4392 eV/atom.

The space group is I-42d (No. 122) and the conventional cell measures 8.154, 8.154 and 5.197 Å, with angles of 90.00, 90.00 and 90.00 degrees. The asymmetric unit holds Na at (0.000, 0.000, 0.000), Te at (0.000, 0.000, 0.500) and W at (0.201, 0.250, 0.625).



A plane-wave DFT calculation with GGA-PBE was carried out for a geometry-optimized Ti2VFeBr structure.

Its energy relative to the elements, uncorrected is 1.1096 eV/atom. The energy above the lowest structure with this stoichiometry comes out at 617.9 meV/atom.

The space group is P4/mmm (No. 123) and the conventional cell measures 4.584, 4.584 and 4.414 Å, with angles of 90.00, 90.00 and 90.00 degrees. The asymmetric unit holds Ti at (0.000, 0.500, 0.000), V at (0.000, 0.000, 0.500), Fe at (0.500, 0.500, 0.500) and Br at (0.000, 0.000, 0.000).



A plane-wave DFT calculation with GGA-PBE was carried out for a geometry-optimized LiUAu4 structure.

The energy above the lowest structure with this stoichiometry comes out at 165.8 meV/atom. The formation energy comes out at -0.13 eV per atom.

The space group is F-43m (No. 216) and the conventional cell measures 7.884, 7.884 and 7.884 Å, with angles of 90.00, 90.00 and 90.00 degrees. The asymmetric unit holds Li at (0.000, 0.000, 0.000), U at (0.250, 0.250, 0.750) and Au at (0.126, 0.126, 0.374).



A plane-wave DFT calculation with GGA-PBE was carried out for a geometry-optimized Tl12Hg5Sb3 structure.

Its energy relative to the elements, uncorrected is 0.0171 eV/atom. The energy above the lowest structure with this stoichiometry comes out at 0.0 meV/atom.

The space group is P-62m (No. 189) and the conventional cell measures 12.8010, 12.8010 and 4.7797 Å, with angles of 90.00, 90.00 and 120.00 degrees. The asymmetric unit holds Tl at (0.0000, 0.1580, 0.0000), Tl at (0.0000, 0.4690, 0.0000), Tl at (0.1820, 0.7140, 0.5000), Hg at (0.0000, 0.7151, 0.0000), Hg at (0.3333, 0.6667, 0.0000) and Sb at (0.0000, 0.3167, 0.5000).



A plane-wave DFT calculation with GGA-PBE was carried out for a geometry-optimized LiAl6Cu6 structure.

The formation energy comes out at -0.23 eV per atom.

The space group is Immm (No. 71) and the conventional cell measures 5.086, 8.449 and 8.593 Å, with angles of 90.00, 90.00 and 90.00 degrees. The asymmetric unit holds Li at (0.000, 0.000, 0.000), Al at (0.000, 0.000, 0.344), Al at (0.000, 0.344, 0.000), Al at (0.000, 0.500, 0.310), Cu at (0.000, 0.263, 0.500) and Cu at (0.250, 0.250, 0.250).



A plane-wave DFT calculation with GGA-PBE was carried out for a geometry-optimized YRu structure.

The formation energy comes out at -0.05 eV per atom.

The space group is Imm2 (No. 44) and the conventional cell measures 3.273, 12.749 and 6.214 Å, with angles of 90.00, 90.00 and 90.00 degrees. The asymmetric unit holds Y at (0.000, 0.000, 0.000), Y at (0.000, 0.295, 0.204), Ru at (0.000, 0.000, 0.539) and Ru at (0.000, 0.385, 0.795).



A plane-wave DFT calculation with GGA-PBE was carried out for a geometry-optimized La5DyTlCd2 structure.

The formation energy comes out at -0.10 eV per atom.

The space group is I4/mcm (No. 140) and the conventional cell measures 7.919, 7.919 and 19.464 Å, with angles of 90.00, 90.00 and 90.00 degrees. The asymmetric unit holds La at (0.000, 0.000, 0.000), La at (0.210, 0.290, 0.137), Dy at (0.000, 0.000, 0.250), Tl at (0.000, 0.500, 0.250) and Cd at (0.119, 0.381, 0.500).



| no. | total DFT energy (no corrections) (eV per atom) |
| --- | --- |
| 1 | -6.239 |
| 2 | -4.467 |
| 3 | -4.101 |
| 4 | -1.146 |
| 5 | -4.338 |
| 6 | -6.153 |
| 7 | -5.899 |
| 8 | -4.512 |
| 9 | -2.096 |
| 10 | -3.997 |
| 11 | -7.915 |
| 12 | -3.811 |